Material: Ru2SBrN
Method: DFT, GGA-PBE
State: optimized geometry

a = 4.370 Å, b = 4.370 Å, c = 5.804 Å
α = 90.00°, β = 90.00°, γ = 90.00°
Positions (direct):
Ru  0.000  0.500  0.000
Ru  0.500  0.000  0.000
S  0.000  0.000  0.000
Br  0.000  0.000  0.500
N  0.500  0.500  0.500

Calculated values
The value obtained for the formation energy from raw total energies is 1.84 eV/atom. The space-group type is P4/mmm, No. 123. The total energy is -23.47 eV for the cell shown.